CeGdErCd | PBE-GGA | relaxed

a b c (Å): 5.4024 5.4024 5.4024
angles (deg): 60.00 60.00 60.00
Element x y z (fractional)
Ce  0.0000  0.0000  0.0000
Gd  0.2500  0.2500  0.2500
Er  0.7500  0.7500  0.7500
Cd  0.5000  0.5000  0.5000

Computed properties:
M_tot (μB per atom): 2.676
N(E_F) (states/eV per cell): 7.4
Density (Mg/m³): 8.594
Energy of formation (eV per formula unit): 0.16